VPdO3 | PBE with a Hubbard U | optimized geometry

abc: 5.061 5.110 5.443
angles: 69.97 84.42 67.01
Space group P-1 (No. 2)
Asymmetric unit:
V: 0.168 0.194 0.464 [2 per cell]
Pd: 0.333 0.805 0.025 [2 per cell]
O: 0.130 0.584 0.306 [2 per cell]
O: 0.147 0.822 0.703 [2 per cell]
O: 0.483 0.957 0.275 [2 per cell]

Volume   12.16 Å³ per atom
Uncorrected energy   -6.7314 eV/atom